A plane-wave DFT calculation with PBE was carried out for a relaxed TcAgAs2 crystal.

abc: 6.467 6.467 6.467
angles: 90.00 90.00 90.00
Space group F-43m (No. 216)
Symmetry-distinct sites (fractional):
Tc 0.000 0.000 0.000 (multiplicity 4)
Ag 0.250 0.250 0.250 (multiplicity 4)
As 0.000 0.000 0.500 (multiplicity 4)
As 0.250 0.250 0.750 (multiplicity 4)

Its total DFT energy (no corrections) is -19.9 eV per formula unit. For the volume, the calculation gives 16.9 A^3/atom.

A plane-wave DFT calculation with PBE was carried out for a relaxed Tc2AgAs crystal.

abc: 6.311 6.311 6.311
angles: 90.00 90.00 90.00
Space group F-43m (No. 216)
Symmetry-distinct sites (fractional):
Tc 0.000 0.000 0.000 (multiplicity 4)
Tc 0.250 0.250 0.250 (multiplicity 4)
Ag 0.250 0.250 0.750 (multiplicity 4)
As 0.000 0.000 0.500 (multiplicity 4)

Its total DFT energy (no corrections) is -26.1 eV per formula unit. For the volume, the calculation gives 15.7 A^3/atom.

A plane-wave DFT calculation with PBE was carried out for a relaxed AgTeAs crystal.

abc: 6.857 6.857 6.857
angles: 90.00 90.00 90.00
Space group F-43m (No. 216)
Symmetry-distinct sites (fractional):
Ag 0.000 0.000 0.000 (multiplicity 4)
Te 0.250 0.250 0.250 (multiplicity 4)
As 0.000 0.000 0.500 (multiplicity 4)

Its total DFT energy (no corrections) is -9.4 eV per formula unit. For the volume, the calculation gives 26.9 A^3/atom.

- Among the records above, which one has the highest volume?
  AgTeAs